(1)
## BrCl2F6 (PBE)

Data for a relaxed structure of BrCl2F6.

- ΔE_f (raw): -0.533 eV/atom
- Density: 2.21 g/cm³
- Total moment: 4.00 μB per cell

Cell lengths 9.981, 9.503, 8.670 Å; angles 90.00, 104.61, 90.00 degrees
Space group C2/c (No. 15)
Inequivalent atoms, fractional coordinates:
Br: 0.000 0.175 0.250 (multiplicity 4)
Cl: 0.094 0.444 0.971 (multiplicity 8)
F: 0.100 0.027 0.197 (multiplicity 8)
F: 0.114 0.171 0.451 (multiplicity 8)
F: 0.144 0.316 0.862 (multiplicity 8)

(2)
## BrClF5 (PBE)

Data for a relaxed structure of BrClF5.

- ΔE_f (raw): -0.718 eV/atom
- Density: 2.52 g/cm³
- Total moment: 1.66 μB per cell
- N(E_F): 0.2278 states/eV per atom

Cell lengths 4.680, 6.102, 10.694 Å; angles 74.83, 85.82, 69.90 degrees
Space group P1 (No. 1)
Inequivalent atoms, fractional coordinates:
Br: 0.000 0.000 0.000 (multiplicity 1)
Br: 0.040 0.970 0.501 (multiplicity 1)
Cl: 0.447 0.348 0.789 (multiplicity 1)
Cl: 0.548 0.657 0.209 (multiplicity 1)
F: 0.086 0.147 0.336 (multiplicity 1)
F: 0.177 0.251 0.966 (multiplicity 1)
F: 0.222 0.141 0.568 (multiplicity 1)
F: 0.262 0.857 0.883 (multiplicity 1)
F: 0.361 0.568 0.340 (multiplicity 1)
F: 0.622 0.446 0.656 (multiplicity 1)
F: 0.739 0.143 0.117 (multiplicity 1)
F: 0.780 0.856 0.433 (multiplicity 1)
F: 0.824 0.746 0.036 (multiplicity 1)
F: 0.923 0.845 0.665 (multiplicity 1)

(3)
## Br3ClF12 (PBE)

Data for a relaxed structure of Br3ClF12.

- ΔE_f (raw): -0.716 eV/atom
- Density: 2.66 g/cm³
- Total moment: 24.34 μB per cell
- N(E_F): 0.4899 states/eV per atom

Cell lengths 11.2587, 11.2587, 17.1971 Å; angles 90.00, 90.00, 120.00 degrees
Space group R3c (No. 161, hexagonal axes)
Inequivalent atoms, fractional coordinates:
Br: 0.0291 0.3471 0.0000 (multiplicity 18)
Cl: 0.0000 0.0000 0.1084 (multiplicity 6)
F: 0.0371 0.4895 0.3191 (multiplicity 18)
F: 0.0734 0.2097 0.9882 (multiplicity 18)
F: 0.1684 0.3504 0.3253 (multiplicity 18)
F: 0.1893 0.0685 0.3288 (multiplicity 18)

(4)
## Br3ClF (PBE)

Data for a relaxed structure of Br3ClF.

- ΔE_f (raw): -0.122 eV/atom
- Density: 2.60 g/cm³
- Total moment: 0.21 μB per cell
- Relative energy among the computed polymorphs: 0.0 meV per atom
- N(E_F): 0.7902 states/eV per atom

Cell lengths 4.121, 5.393, 17.079 Å; angles 82.64, 89.95, 89.34 degrees
Space group P1 (No. 1)
Inequivalent atoms, fractional coordinates:
Br: 0.000 0.000 0.000 (multiplicity 1)
Br: 0.001 0.144 0.368 (multiplicity 1)
Br: 0.006 0.586 0.138 (multiplicity 1)
Br: 0.987 0.746 0.757 (multiplicity 1)
Br: 0.994 0.331 0.895 (multiplicity 1)
Br: 0.999 0.186 0.527 (multiplicity 1)
Cl: 0.003 0.895 0.274 (multiplicity 1)
Cl: 0.994 0.436 0.621 (multiplicity 1)
F: 0.486 0.799 0.759 (multiplicity 1)
F: 0.507 0.533 0.137 (multiplicity 1)

(5)
## In4BrCl2F (PBE)

Data for a relaxed structure of In4BrCl2F.

- ΔE_f (raw): -0.922 eV/atom
- Density: 3.97 g/cm³
- Total moment: 0.00 μB per cell

Cell lengths 8.943, 9.232, 12.739 Å; angles 90.00, 90.00, 90.00 degrees
Space group Imma (No. 74)
Inequivalent atoms, fractional coordinates:
In: 0.000 0.020 0.245 (multiplicity 8)
In: 0.243 0.250 0.940 (multiplicity 8)
Br: 0.000 0.000 0.500 (multiplicity 4)
Cl: 0.000 0.000 0.000 (multiplicity 4)
Cl: 0.250 0.250 0.250 (multiplicity 4)
F: 0.250 0.250 0.750 (multiplicity 4)

(6)
## In4BrCl2F2 (PBE)

Data for a relaxed structure of In4BrCl2F2.

- ΔE_f (raw): -1.188 eV/atom
- Density: 4.36 g/cm³
- Total moment: 0.00 μB per cell
- N(E_F): 0.2333 states/eV per atom

Cell lengths 17.728, 4.260, 6.796 Å; angles 90.00, 106.13, 90.00 degrees
Space group C2/m (No. 12)
Inequivalent atoms, fractional coordinates:
In: 0.054 0.000 0.223 (multiplicity 4)
In: 0.207 0.500 0.699 (multiplicity 4)
Br: 0.000 0.500 0.500 (multiplicity 2)
Cl: 0.136 0.500 0.106 (multiplicity 4)
F: 0.165 0.000 0.481 (multiplicity 4)